Arrangement P

4
Lattice="4.377 0.000 0.000 0.000 4.377 0.000 0.000 0.000 6.186" Properties=species:S:1:pos:R:3 comment="La2SiAs (PBE, relaxed)" m_tot_mub_per_atom=0.00 pbc="T T T"
La 0.000 0.000 0.000
La 2.189 2.189 3.093
Si 0.000 0.000 3.093
As 2.189 2.189 0.000

Arrangement Q

4
Lattice="5.607 -2.146 0.000 5.607 2.146 0.000 -0.535 0.000 4.451" Properties=species:S:1:pos:R:3 comment="La2SiAs (PBE, relaxed)" m_tot_mub_per_atom=0.00 pbc="T T T"
La 0.000 0.000 0.000
La 7.965 0.000 2.386
Si 3.054 0.000 0.273
As 4.878 0.000 2.092

Unit: meV/atom. Relative energies: arrangement P 0; arrangement Q 8.

Arrangement P

4
Lattice="-1.896 1.896 3.802 1.896 -1.896 3.802 1.896 1.896 -3.802" Properties=species:S:1:pos:R:3 comment="FeTc2Os (PBE, relaxed)" m_tot_mub_per_atom=0.22 pbc="T T T"
Fe 0.000 0.000 0.000
Tc 1.896 0.000 1.901
Tc 0.000 1.896 1.901
Os 0.000 0.000 3.802

Arrangement Q

4
Lattice="4.429 0.000 0.000 0.000 4.429 0.000 0.000 0.000 2.884" Properties=species:S:1:pos:R:3 comment="FeTc2Os (PBE, relaxed)" m_tot_mub_per_atom=0.73 pbc="T T T"
Fe 0.000 0.000 0.000
Tc 0.000 2.215 1.442
Tc 2.215 0.000 1.442
Os 2.215 2.215 0.000

Unit: meV/atom. Relative energies: arrangement P 0; arrangement Q 225.